Entry 1:
Entry from Alexandria via LeMat-Bulk: a relaxed Ac3La6Y crystal (PBE). Values from VASP.

Summary:
DOS(E_F)   31.1 states/eV per cell
Energy of formation from the pure elements   0.125 eV/atom
Space group   Cmc2_1 (36)
Spin magnetization   0.000 μB per formula unit

Cell and atoms, written as Quantum ESPRESSO input:
```
&SYSTEM
  ibrav = 0, nat = 20, ntyp = 3
/
ATOMIC_SPECIES
Y 88.91 Y.upf
La 138.91 La.upf
Ac 227.00 Ac.upf
CELL_PARAMETERS angstrom
9.553 0.000 0.000
0.000 9.076 -2.611
0.000 -1.240 9.362
ATOMIC_POSITIONS angstrom
Y 0.290 1.213 6.515
Y 5.067 6.622 0.236
La 6.316 1.918 5.696
La 2.539 1.047 3.806
La 0.854 2.328 0.539
La 0.854 6.958 4.528
La 7.315 3.919 0.473
La 2.539 3.916 6.278
La 2.642 8.387 -1.812
La 7.419 -0.552 8.563
La 1.539 5.917 1.055
La 7.315 6.788 2.945
La 5.630 5.507 6.212
La 5.630 0.877 2.223
Ac 4.256 4.286 2.948
Ac 9.033 3.550 3.803
Ac 4.116 3.015 -0.680
Ac 4.116 8.062 3.669
Ac 8.892 4.820 7.431
Ac 8.892 -0.226 3.082
```

Entry 2:
Entry from Alexandria via LeMat-Bulk: a relaxed Ba2HgSe crystal (PBE). Values from VASP.

Summary:
Relative energy among the computed polymorphs   29 meV per atom
DOS(E_F)   1.8 states/eV per cell
Space group   P2/m (10)
Formation energy without anion corrections   -1118 meV/atom
Spin magnetization   0.000 μB per formula unit

Cell and atoms, written as Quantum ESPRESSO input:
```
&SYSTEM
  ibrav = 0, nat = 4, ntyp = 3
/
ATOMIC_SPECIES
Ba 137.33 Ba.upf
Se 78.96 Se.upf
Hg 200.59 Hg.upf
CELL_PARAMETERS angstrom
-2.204 -0.015 3.504
-2.892 -2.368 -1.829
1.030 -9.014 0.610
ATOMIC_POSITIONS angstrom
Ba -0.874 -5.791 -0.574
Ba 0.972 -8.914 0.574
Se -2.499 -8.544 0.838
Hg -1.568 -2.853 1.447
```

Entry 3:
Entry from Alexandria via LeMat-Bulk: a relaxed Rb2CeCuF8 crystal (PBE). Values from VASP.

Summary:
Space group   P-1 (2)
Formation energy without anion corrections   -2890 meV/atom
Spin magnetization   0.995 μB per formula unit

Cell and atoms, written as Quantum ESPRESSO input:
```
&SYSTEM
  ibrav = 0, nat = 12, ntyp = 4
/
ATOMIC_SPECIES
F 19.00 F.upf
Rb 85.47 Rb.upf
Ce 140.12 Ce.upf
Cu 63.55 Cu.upf
CELL_PARAMETERS angstrom
-2.515 0.142 -3.536
-2.761 -5.440 2.182
-5.392 5.577 2.849
ATOMIC_POSITIONS angstrom
F -4.016 1.630 0.132
F -4.071 -3.890 -1.233
F -3.875 1.109 -2.551
F -6.562 2.101 -0.660
F -6.596 4.169 2.728
F -6.792 -0.829 4.046
F -4.105 -1.821 2.155
F -6.651 -1.351 1.363
Rb -6.647 1.430 2.048
Rb -4.020 -1.151 -0.553
Ce -2.696 2.789 1.425
Cu 0.000 0.000 0.000
```

Entry 4:
Entry from Alexandria via LeMat-Bulk: a relaxed MgTcAs2Br crystal (PBE). Values from VASP.

Summary:
Relative energy among the computed polymorphs   0 meV per atom
DOS(E_F)   2.0 states/eV per cell
Space group   P4/mmm (123)
Formation energy without anion corrections   199 meV/atom
Spin magnetization   0.000 μB per formula unit

Cell and atoms, written as Quantum ESPRESSO input:
```
&SYSTEM
  ibrav = 0, nat = 5, ntyp = 4
/
ATOMIC_SPECIES
Mg 24.30 Mg.upf
Tc 98.00 Tc.upf
Br 79.90 Br.upf
As 74.92 As.upf
CELL_PARAMETERS angstrom
-2.531 -2.290 3.286
-2.624 -1.988 -3.407
3.540 -4.259 -0.242
ATOMIC_POSITIONS angstrom
Mg -0.807 -4.269 -0.181
Tc 0.000 0.000 0.000
Br 1.770 -2.129 -0.121
As -1.265 -1.145 1.643
As -1.312 -0.994 -1.704
```